No. 1
Material: Tb2SmHoSe6
Method: DFT, PBE
State: optimized geometry

The structure belongs to space group R3 (No. 146, hexagonal axes); the cell edges are 7.2597, 7.2597 and 19.5402 Å and the angles 90.00°, 90.00° and 120.00°. The distinct sites, in fractional coordinates, are Tb at (0.0000, 0.0000, 0.0000), Tb at (0.0000, 0.0000, 0.4979), Sm at (0.0000, 0.0000, 0.1978), Ho at (0.0000, 0.0000, 0.6949), Se at (0.0074, 0.7034, 0.5974) and Se at (0.0276, 0.3585, 0.7634).

The calculation puts the uncorrected formation energy at -1850 meV per atom. The calculation puts the density of states at the Fermi level at 0.000 states/eV/cell. As for the volume: 892 Å³ per cell. Its total energy is -173.9 eV/cell.

***

No. 2
Material: Tb3SmHo2Se6
Method: DFT, PBE
State: optimized geometry

The structure belongs to space group C2/m (No. 12); the cell edges are 7.0658, 12.3119 and 7.1001 Å and the angles 90.00°, 109.46° and 90.00°. The distinct sites, in fractional coordinates, are Tb at (0.0000, 0.0000, 0.0000), Tb at (0.0000, 0.3386, 0.0000), Sm at (0.0000, 0.5000, 0.5000), Ho at (0.0000, 0.1657, 0.5000), Se at (0.2419, 0.0000, 0.7472) and Se at (0.2461, 0.1705, 0.2490).

The calculation puts the uncorrected formation energy at -1765 meV per atom. The calculation puts the density of states at the Fermi level at 10.717 states/eV/cell. As for the volume: 582 Å³ per cell. Its total energy is -139.7 eV/cell.